[1]
Density functional theory data (PBE-GGA) for an optimized crystal structure of Ni3Ir.

```
4
Lattice="2.606 0.000 0.000 1.303 4.248 0.000 0.000 -0.818 4.327" Properties=species:S:1:pos:R:3 pbc="T T T"
Ni 1.303 1.922 1.092
Ni 1.303 -0.409 2.164
Ni 2.606 1.509 3.235
Ir 0.000 0.000 0.000
```

Computed properties:
Formation enthalpy at 0 K: 15 meV/atom
Symmetry: C2/m

***

[2]
Density functional theory data (PBE-GGA) for an optimized crystal structure of KYMo2.

```
4
Lattice="3.318 0.000 0.000 0.000 4.761 0.000 0.000 0.000 7.519" Properties=species:S:1:pos:R:3 pbc="T T T"
K 1.659 2.381 5.640
Mo 0.000 0.000 0.789
Mo 0.000 0.000 2.971
Y 1.659 2.381 1.880
```

Computed properties:
Formation enthalpy at 0 K: 879 meV/atom
Relative energy among the computed polymorphs: 0.3452 eV per atom
Symmetry: Pmmm

***

[3]
Density functional theory data (PBE-GGA) for an optimized crystal structure of Na2YGeSe4.

```
16
Lattice="-2.848 3.324 6.975 -7.701 -0.883 -2.779 5.201 -6.538 0.232" Properties=species:S:1:pos:R:3 pbc="T T T"
Na -1.424 1.662 3.488
Na 1.176 -1.607 3.603
Na 2.600 -3.269 0.116
Na -5.274 1.221 2.098
Y -3.851 -0.441 -1.389
Y -4.098 -0.386 5.701
Ge -2.674 -2.048 2.214
Ge 2.353 -3.213 7.207
Se -1.314 -6.396 -0.267
Se -1.561 -1.080 4.554
Se -3.787 -3.016 -0.126
Se -4.034 2.300 4.695
Se -2.815 -4.532 3.415
Se -5.166 -1.576 3.310
Se -0.183 -2.520 1.118
Se -2.533 0.436 1.013
```

Computed properties:
Symmetry: Imma

***

[4]
Density functional theory data (PBE-GGA) for an optimized crystal structure of Cs3InTe4.

```
8
Lattice="9.376 -1.906 -1.465 -6.276 7.221 1.465 -4.745 -0.794 8.398" Properties=species:S:1:pos:R:3 pbc="T T T"
Cs -0.195 0.114 7.263
Cs 3.958 -2.308 5.927
Cs -0.155 3.652 3.075
In -5.280 3.079 5.277
Te -6.155 3.589 7.838
Te -2.919 1.702 4.942
Te 2.000 0.526 1.892
Te -5.749 5.222 3.357
```

Computed properties:
Symmetry: Imm2

***

[5]
Density functional theory data (PBE-GGA) for an optimized crystal structure of Y3NbSe.

```
5
Lattice="5.415 0.000 0.000 0.000 5.415 0.000 0.000 0.000 5.415" Properties=species:S:1:pos:R:3 pbc="T T T"
Y 0.000 2.707 0.000
Y 0.000 0.000 2.707
Y 2.707 0.000 0.000
Nb 0.000 0.000 0.000
Se 2.707 2.707 2.707
```

Computed properties:
Relative energy among the computed polymorphs: 0.3704 eV per atom
Symmetry: Pm-3m

***

[6]
Density functional theory data (PBE-GGA) for an optimized crystal structure of Th4Co5Ni2.

```
11
Lattice="-3.537 -1.518 0.275 2.033 -3.838 4.967 -2.104 5.764 4.766" Properties=species:S:1:pos:R:3 pbc="T T T"
Th -1.568 -0.027 6.778
Th -3.125 3.377 5.540
Th -2.041 0.434 3.230
Th -0.484 -2.970 4.468
Co 0.388 -0.152 4.156
Co 0.062 0.105 1.386
Co 1.016 -1.919 2.484
Co -3.671 0.302 8.622
Co -0.459 2.077 5.577
Ni -1.161 3.337 3.493
Ni 1.090 -1.411 6.241
```

Computed properties:
Formation enthalpy at 0 K: -289 meV/atom
Symmetry: P2/m

***

Ordered calculated volume results: 12.0; 29.7; 24.6; 54.3; 31.8; 18.0; unit Å³ per atom.
Ordered energy results: -26.1; -25.7; -72.8; -24.0; -31.1; -80.0; unit eV/cell.